VASP calculation (GGA+U) on an optimized crystal structure of CaWOF2.

```
CaWOF2
1.0
-3.929 0.339 1.361
-0.312 -4.158 0.133
1.553 0.027 4.477
Ca O W F
1 1 1 2
Cartesian
0.000 0.000 0.000 Ca
0.776 0.014 2.238 O
-1.344 -1.896 2.985 W
-0.156 -2.079 0.067 F
-1.965 0.169 0.680 F
```

Values from the calculation:
Spin magnetization ... 4.000 μB per formula unit
Space-group type ... No. 123
Offset from the most stable computed form ... 6.12 kcal/mol of atoms
N(E_F) ... 0.19 states/eV/f.u.
V ... 82.5 Å³/cell
Total energy ... -26.23 eV for the cell shown